{"formula": "Dy8Ge5Se", "functional": "PBE-GGA", "state": "relaxed", "formation_energy_uncorrected_ev_per_atom": -0.950, "volume_a3_per_atom": 24.414, "lattice_angstrom": [[7.209, 0.000, -2.495], [-3.590, 6.223, -2.567], [-0.030, 0.000, 7.629]], "species": ["Dy", "Dy", "Dy", "Dy", "Dy", "Dy", "Dy", "Dy", "Ge", "Ge", "Ge", "Ge", "Ge", "Se"], "fractional_positions": [[0.125, 0.751, 0.011], [0.989, 0.114, 0.740], [0.751, 0.245, 0.368], [0.632, 0.384, 0.878], [0.494, 0.616, 0.249], [0.626, 0.886, 0.875], [0.260, 0.249, 0.374], [0.122, 0.755, 0.506], [0.005, 0.377, 0.127], [0.873, 0.877, 0.249], [0.751, 0.623, 0.628], [0.500, 0.000, 0.500], [0.372, 0.123, 0.995], [0.250, 0.500, 0.750]]}

{"formula": "Dy3Ge5Se12", "functional": "PBE-GGA", "state": "relaxed", "formation_energy_uncorrected_ev_per_atom": -0.781, "volume_a3_per_atom": 26.086, "lattice_angstrom": [[-1.424, 7.451, 11.700], [-10.725, 2.624, -8.515], [0.227, -13.584, 3.139]], "species": ["Dy", "Dy", "Dy", "Dy", "Dy", "Dy", "Dy", "Dy", "Dy", "Dy", "Dy", "Dy", "Ge", "Ge", "Ge", "Ge", "Ge", "Ge", "Ge", "Ge", "Ge", "Ge", "Ge", "Ge", "Ge", "Ge", "Ge", "Ge", "Ge", "Ge", "Ge", "Ge", "Se", "Se", "Se", "Se", "Se", "Se", "Se", "Se", "Se", "Se", "Se", "Se", "Se", "Se", "Se", "Se", "Se", "Se", "Se", "Se", "Se", "Se", "Se", "Se", "Se", "Se", "Se", "Se", "Se", "Se", "Se", "Se", "Se", "Se", "Se", "Se", "Se", "Se", "Se", "Se", "Se", "Se", "Se", "Se", "Se", "Se", "Se", "Se"], "fractional_positions": [[0.750, 0.375, 0.125], [0.875, 0.750, 0.125], [0.375, 0.750, 0.625], [0.250, 0.125, 0.375], [0.875, 0.125, 0.250], [0.375, 0.625, 0.250], [0.625, 0.375, 0.750], [0.125, 0.875, 0.750], [0.750, 0.875, 0.625], [0.625, 0.250, 0.375], [0.125, 0.250, 0.875], [0.250, 0.625, 0.875], [0.125, 0.375, 0.250], [0.000, 0.500, 0.000], [0.000, 0.000, 0.000], [0.375, 0.250, 0.125], [0.500, 0.000, 0.500], [0.500, 0.500, 0.000], [0.125, 0.750, 0.375], [0.750, 0.125, 0.875], [0.750, 0.625, 0.375], [0.375, 0.125, 0.750], [0.625, 0.875, 0.250], [0.500, 0.500, 0.500], [0.500, 0.000, 0.000], [0.000, 0.000, 0.500], [0.250, 0.375, 0.625], [0.250, 0.875, 0.125], [0.000, 0.500, 0.500], [0.875, 0.250, 0.625], [0.625, 0.750, 0.875], [0.875, 0.625, 0.750], [0.718, 0.131, 0.040], [0.322, 0.540, 0.409], [0.960, 0.369, 0.282], [0.540, 0.218, 0.131], [0.587, 0.718, 0.678], [0.960, 0.591, 0.178], [0.322, 0.782, 0.413], [0.091, 0.913, 0.131], [0.591, 0.960, 0.678], [0.718, 0.587, 0.178], [0.782, 0.460, 0.369], [0.822, 0.909, 0.040], [0.131, 0.718, 0.540], [0.369, 0.409, 0.087], [0.087, 0.909, 0.369], [0.413, 0.131, 0.591], [0.087, 0.178, 0.218], [0.460, 0.678, 0.091], [0.822, 0.913, 0.282], [0.131, 0.413, 0.091], [0.369, 0.960, 0.782], [0.591, 0.631, 0.413], [0.909, 0.822, 0.540], [0.782, 0.322, 0.913], [0.409, 0.369, 0.587], [0.091, 0.178, 0.460], [0.218, 0.678, 0.087], [0.178, 0.087, 0.718], [0.631, 0.040, 0.218], [0.869, 0.587, 0.909], [0.540, 0.322, 0.909], [0.587, 0.869, 0.409], [0.913, 0.822, 0.782], [0.913, 0.091, 0.631], [0.869, 0.282, 0.460], [0.178, 0.091, 0.960], [0.631, 0.591, 0.913], [0.409, 0.040, 0.322], [0.282, 0.413, 0.822], [0.218, 0.540, 0.631], [0.909, 0.087, 0.869], [0.678, 0.218, 0.587], [0.460, 0.782, 0.869], [0.040, 0.409, 0.822], [0.413, 0.282, 0.322], [0.040, 0.631, 0.718], [0.678, 0.460, 0.591], [0.282, 0.869, 0.960]]}